! PBE RuRh4, optimized geometry; values from VASP
! Formation energy (meV per atom): 1086
! Total magnetic moment (μB per cell): 4.815
! SG: P4/mbm (127)
! Energy relative to the lowest polymorph listed for this composition (eV per formula unit): 5.342
&SYSTEM
  ibrav = 0, nat = 20, ntyp = 2
/
ATOMIC_SPECIES
Rh 102.91 Rh.upf
Ru 101.07 Ru.upf
ATOMIC_POSITIONS angstrom
Rh 3.426 0.000 0.000
Rh 2.257 2.206 0.701
Rh 3.426 4.652 4.652
Rh 2.257 3.219 7.871
Ru 0.000 7.135 2.482
Rh 2.257 0.701 7.099
Rh 2.257 6.086 1.434
Rh 2.257 3.952 2.446
Ru 0.000 2.482 2.170
Rh 2.257 5.353 6.858
Ru 0.000 2.170 6.822
Ru 0.000 6.822 7.135
Rh 2.257 1.434 3.219
Rh 1.088 0.000 0.000
Rh 2.257 8.604 2.206
Rh 2.257 6.858 3.952
Rh 2.257 2.446 5.353
Rh 2.257 7.099 8.604
Rh 2.257 7.871 6.086
Rh 1.088 4.652 4.652
CELL_PARAMETERS angstrom
4.514 0.000 0.000
0.000 9.305 0.000
0.000 0.000 9.305